A relaxed structure of La2NbTl. Source: Alexandria via LeMat-Bulk, functional PBE.

Computed properties:
ΔE to the lowest computed polymorph ... 0 meV per atom
Formation enthalpy at 0 K ... 0.20 eV/atom
Symmetry ... Fm-3m (225)
Theoretical density ... 8.418 g/cm³

Cell lengths 5.4338, 5.4338, 5.4338 Å; angles 60.00, 60.00, 60.00 degrees
Closest atoms and distances in Å follow each position.
Element x y z (fractional)
1 Nb 0.0000 0.0000 0.0000  8 La 3.33
2 Tl 0.5000 0.5000 0.5000  8 La 3.33
3 La 0.7500 0.7500 0.7500  4 Tl 3.33, 4 Nb 3.33
4 La 0.2500 0.2500 0.2500  4 Tl 3.33, 4 Nb 3.33

***

A relaxed structure of Li2CaAs. Source: Alexandria via LeMat-Bulk, functional PBE.

Computed properties:
Formation enthalpy at 0 K ... -0.55 eV/atom
Symmetry ... R-3m (166)
Theoretical density ... 2.578 g/cm³

Cell lengths 5.7682, 5.7682, 5.7682 Å; angles 43.66, 43.66, 43.66 degrees
Closest atoms and distances in Å follow each position.
Element x y z (fractional)
1 Li 0.9536 0.9536 0.9536  3 As 2.54, 3 Li 2.73
2 Li 0.5464 0.5464 0.5464  3 As 2.54, 3 Li 2.73
3 As 0.2500 0.2500 0.2500  6 Li 2.54
4 Ca 0.7500 0.7500 0.7500  8 Li 3.18-3.20

***

- Among the records above, which one has the lowest theoretical density?
  Li2CaAs

***

- The lowest formation enthalpy at 0 K belongs to which entry?
  Li2CaAs